[1]
An optimized crystal structure of Sm3Ga2Cu7, computed with PBE.

Structure (CIF):
```
data_Sm3Ga2Cu7
_cell_length_a 4.034
_cell_length_b 4.034
_cell_length_c 27.134
_cell_angle_alpha 90.00
_cell_angle_beta 90.00
_cell_angle_gamma 90.00
_space_group_name_H-M_alt 'I 4/m m m'
_space_group_IT_number 139
_space_group_name_Hall '-I 4 2'
loop_
_atom_site_label
_atom_site_fract_x
_atom_site_fract_y
_atom_site_fract_z
_atom_site_occupancy
Sm1 0.000 0.000 0.000 1
Sm2 0.000 0.000 0.173 1
Ga1 0.000 0.000 0.371 1
Cu1 0.000 0.000 0.277 1
Cu2 0.000 0.000 0.500 1
Cu3 0.000 0.500 0.077 1
```

Values from the calculation:
- E_tot: -4.18 eV/atom

---

[2]
An optimized crystal structure of La2CdSn, computed with PBE.

Structure (CIF):
```
data_La2CdSn
_cell_length_a 5.317
_cell_length_b 5.317
_cell_length_c 4.299
_cell_angle_alpha 90.00
_cell_angle_beta 90.00
_cell_angle_gamma 90.00
_space_group_name_H-M_alt 'P 4/m m m'
_space_group_IT_number 123
_space_group_name_Hall '-P 4 2'
loop_
_atom_site_label
_atom_site_fract_x
_atom_site_fract_y
_atom_site_fract_z
_atom_site_occupancy
La1 0.000 0.500 0.000 1
Cd1 0.000 0.000 0.500 1
Sn1 0.500 0.500 0.500 1
```

Values from the calculation:
- E_tot: -4.27 eV/atom

---

[3]
An optimized crystal structure of CsHg4Pd, computed with PBE.

Structure (CIF):
```
data_CsHg4Pd
_cell_length_a 5.378
_cell_length_b 5.378
_cell_length_c 8.148
_cell_angle_alpha 90.00
_cell_angle_beta 90.00
_cell_angle_gamma 90.00
_space_group_name_H-M_alt 'P 4/m m m'
_space_group_IT_number 123
_space_group_name_Hall '-P 4 2'
loop_
_atom_site_label
_atom_site_fract_x
_atom_site_fract_y
_atom_site_fract_z
_atom_site_occupancy
Cs1 0.000 0.000 0.000 1
Hg1 0.000 0.500 0.500 1
Hg2 0.500 0.500 0.177 1
Pd1 0.500 0.500 0.500 1
```

Values from the calculation:
- E_tot: -1.38 eV/atom

---

[4]
An optimized crystal structure of Ca3ScPb, computed with PBE.

Structure (CIF):
```
data_Ca3ScPb
_cell_length_a 5.872
_cell_length_b 5.872
_cell_length_c 5.872
_cell_angle_alpha 90.00
_cell_angle_beta 90.00
_cell_angle_gamma 90.00
_space_group_name_H-M_alt 'P m -3 m'
_space_group_IT_number 221
_space_group_name_Hall '-P 4 2 3'
loop_
_atom_site_label
_atom_site_fract_x
_atom_site_fract_y
_atom_site_fract_z
_atom_site_occupancy
Ca1 0.000 0.000 0.500 1
Sc1 0.000 0.000 0.000 1
Pb1 0.500 0.500 0.500 1
```

Values from the calculation:
- E_tot: -2.57 eV/atom

---

[5]
An optimized crystal structure of Y4CuO7, computed with PBE.

Structure (CIF):
```
data_Y4CuO7
_cell_length_a 12.567
_cell_length_b 3.892
_cell_length_c 8.994
_cell_angle_alpha 90.00
_cell_angle_beta 133.51
_cell_angle_gamma 90.00
_space_group_name_H-M_alt 'C 1 2/m 1'
_space_group_IT_number 12
_space_group_name_Hall '-C 2y'
loop_
_atom_site_label
_atom_site_fract_x
_atom_site_fract_y
_atom_site_fract_z
_atom_site_occupancy
Y1 0.088 0.000 0.398 1
Y2 0.247 0.000 0.156 1
Cu1 0.000 0.500 0.000 1
O1 0.000 0.000 0.000 1
O2 0.091 0.500 0.893 1
O3 0.134 0.000 0.697 1
O4 0.205 0.500 0.556 1
```

Values from the calculation:
- E_tot: -8.37 eV/atom
- Energy relative to the elements, uncorrected: -2.9865 eV per atom

---

[6]
An optimized crystal structure of ZnSiPb2, computed with PBE.

Structure (CIF):
```
data_ZnSiPb2
_cell_length_a 7.195
_cell_length_b 4.128
_cell_length_c 7.264
_cell_angle_alpha 90.00
_cell_angle_beta 109.17
_cell_angle_gamma 90.00
_space_group_name_H-M_alt 'C 1 m 1'
_space_group_IT_number 8
_space_group_name_Hall 'C -2y'
loop_
_atom_site_label
_atom_site_fract_x
_atom_site_fract_y
_atom_site_fract_z
_atom_site_occupancy
Zn1 0.000 0.000 0.000 1
Si1 0.188 0.500 0.062 1
Pb1 0.238 0.000 0.715 1
Pb2 0.446 0.000 0.347 1
```

Values from the calculation:
- E_tot: -3.30 eV/atom
- Energy relative to the elements, uncorrected: 0.2262 eV per atom

---

[7]
An optimized crystal structure of InCuAs2, computed with PBE.

Structure (CIF):
```
data_InCuAs2
_cell_length_a 4.260
_cell_length_b 4.880
_cell_length_c 7.750
_cell_angle_alpha 90.00
_cell_angle_beta 90.00
_cell_angle_gamma 90.00
_space_group_name_H-M_alt 'C m m m'
_space_group_IT_number 65
_space_group_name_Hall '-C 2 2'
loop_
_atom_site_label
_atom_site_fract_x
_atom_site_fract_y
_atom_site_fract_z
_atom_site_occupancy
In1 0.000 0.000 0.000 1
Cu1 0.000 0.000 0.500 1
As1 0.000 0.500 0.319 1
```

Values from the calculation:
- E_tot: -3.85 eV/atom

---

[8]
An optimized crystal structure of Pm4Er3Tm4, computed with PBE.

Structure (CIF):
```
data_Pm4Er3Tm4
_cell_length_a 3.499
_cell_length_b 5.613
_cell_length_c 35.394
_cell_angle_alpha 90.00
_cell_angle_beta 90.00
_cell_angle_gamma 90.00
_space_group_name_H-M_alt 'I m m m'
_space_group_IT_number 71
_space_group_name_Hall '-I 2 2'
loop_
_atom_site_label
_atom_site_fract_x
_atom_site_fract_y
_atom_site_fract_z
_atom_site_occupancy
Pm1 0.000 0.000 0.090 1
Pm2 0.000 0.500 0.232 1
Er1 0.000 0.000 0.364 1
Er2 0.000 0.500 0.500 1
Tm1 0.000 0.000 0.180 1
Tm2 0.000 0.500 0.045 1
```

Values from the calculation:
- E_tot: -4.53 eV/atom